*w*
Entry from Alexandria: a relaxed NbCdS2N crystal (GGA-PBE).

Calculated values
DOS at the Fermi energy ... 1.338 states/eV per atom
Mass density ... 4.97 Mg/m³

a b c (Å): 4.8587 4.8587 4.0088
angles (deg): 90.00 90.00 90.00
Last column: nearest neighbours and their distance in Å.
Fractional positions:
Nb  0.0000  0.0000  0.0000  8 S 3.15, 4 N 3.44
Cd  0.5000  0.5000  0.5000  2 N 2.00
S  0.0000  0.5000  0.5000  2 Cd 2.43
S  0.5000  0.0000  0.5000  2 Cd 2.43
N  0.5000  0.5000  0.0000  2 Cd 2.00


*x*
Entry from Alexandria: a relaxed NbCdS2N crystal (GGA-PBE).

Calculated values
DOS at the Fermi energy ... 0.334 states/eV per atom
Mass density ... 4.85 Mg/m³

a b c (Å): 4.9914 4.9914 3.8934
angles (deg): 90.00 90.00 90.00
Last column: nearest neighbours and their distance in Å.
Fractional positions:
Nb  0.0000  0.0000  0.0000  2 N 1.95
Cd  0.5000  0.5000  0.5000  8 S 3.17, 4 N 3.53
S  0.0000  0.5000  0.0000  2 Nb 2.50
S  0.5000  0.0000  0.0000  2 Nb 2.50
N  0.0000  0.0000  0.5000  2 Nb 1.95


Structures ranked by computed energy, the most stable listed first: *x*, *w*.